Entry 1:
Here is Zn2PdRu2 after structural relaxation from the Alexandria database. Energies are from PBE.

abc: 7.2237 7.2237 2.8836
angles: 90.00 90.00 90.00
Positions (direct):
Zn (0.1794, 0.3206, 0.0000)
Zn (0.3206, 0.8206, 0.0000)
Zn (0.6794, 0.1794, 0.0000)
Zn (0.8206, 0.6794, 0.0000)
Pd (0.0000, 0.0000, 0.5000)
Pd (0.5000, 0.5000, 0.5000)
Ru (0.1175, 0.6175, 0.5000)
Ru (0.3825, 0.1175, 0.5000)
Ru (0.6175, 0.8825, 0.5000)
Ru (0.8825, 0.3825, 0.5000)

## Properties
The volume is 150 Å³ per cell. The calculation puts the formation energy at 0.218 eV per atom. Its space group is P4/mbm (127). The crystal system is tetragonal. Its electronic total energy is -50.41 eV for the cell shown.



Entry 2:
Here is LaAl2ZnAu5 after structural relaxation from the Alexandria database. Energies are from PBE.

abc: 4.9861 4.9861 7.6038
angles: 90.00 90.00 90.00
Positions (direct):
La (0.0000, 0.0000, 0.0000)
Al (0.5000, 0.5000, 0.3347)
Al (0.5000, 0.5000, 0.6653)
Zn (0.0000, 0.0000, 0.5000)
Au (0.0000, 0.5000, 0.2678)
Au (0.0000, 0.5000, 0.7322)
Au (0.5000, 0.0000, 0.2678)
Au (0.5000, 0.0000, 0.7322)
Au (0.5000, 0.5000, 0.0000)

## Properties
The volume is 189 Å³ per cell. The calculation puts the formation energy at -0.336 eV per atom. Its space group is P4/mmm (123). The crystal system is tetragonal. Its electronic total energy is -33.09 eV for the cell shown.



Entry 3:
Here is YNi3Pd after structural relaxation from the Alexandria database. Energies are from PBE.

abc: 4.5709 4.5709 4.5709
angles: 90.00 90.00 90.00
Positions (direct):
Y (0.0000, 0.0000, 0.0000)
Ni (0.0000, 0.5000, 0.5000)
Ni (0.5000, 0.0000, 0.5000)
Ni (0.5000, 0.5000, 0.0000)
Pd (0.5000, 0.5000, 0.5000)

## Properties
The value obtained for the energy above the most stable polymorph in this dataset is 0.000 eV/atom. The volume is 95 Å³ per cell. The calculation puts the formation energy at 0.510 eV per atom. Its space group is Pm-3m (221). The crystal system is cubic. Its electronic total energy is -26.45 eV for the cell shown.



Entry 4:
Here is La2InTeOs after structural relaxation from the Alexandria database. Energies are from PBE.

abc: 5.9481 5.9481 5.3211
angles: 90.00 90.00 90.00
Positions (direct):
La (0.0000, 0.5000, 0.0000)
La (0.5000, 0.0000, 0.0000)
In (0.0000, 0.0000, 0.0000)
Te (0.0000, 0.0000, 0.5000)
Os (0.5000, 0.5000, 0.5000)

## Properties
The volume is 188 Å³ per cell. The energy relative to the elements, uncorrected is 561 kJ/mol of formula units. Its space group is P4/mmm (123). The crystal system is tetragonal. Its electronic total energy is -21.15 eV for the cell shown.